# 1
A plane-wave DFT calculation with PBE was carried out for crystalline Hf2GaHg at its relaxed geometry.

a = 3.1789 Å, b = 3.1789 Å, c = 28.4471 Å
α = 90.00°, β = 90.00°, γ = 120.00°
Last column: nearest neighbours and their distance in Å.
Space group R-3m (No. 166, hexagonal axes)
One atom of each set of equivalent atoms:
Hf1 0.0000 0.0000 0.2464  3 Ga 2.92, 3 Hg 3.08, 6 Hf 3.18
Ga1 0.0000 0.0000 0.5000  6 Hf 2.92, 6 Ga 3.18
Hg1 0.0000 0.0000 0.0000  6 Hf 3.08, 6 Hg 3.18

Results
**D(E_F)**: 13.520 states/eV per cell
**Offset from the most stable computed form**: 0.140 eV per atom
**ΔH_f (0 K)**: -0.360 eV/f.u.


# 2
A plane-wave DFT calculation with PBE was carried out for crystalline BaMn2AgCl at its relaxed geometry.

a = 4.6801 Å, b = 4.6801 Å, c = 6.3768 Å
α = 90.00°, β = 90.00°, γ = 90.00°
Last column: nearest neighbours and their distance in Å.
Space group P4/mmm (No. 123)
One atom of each set of equivalent atoms:
Ba1 0.0000 0.0000 0.0000  4 Ag 3.31
Mn1 0.0000 0.5000 0.5000  2 Cl 2.34
Ag1 0.5000 0.5000 0.0000  2 Cl 3.19, 4 Ba 3.31
Cl1 0.5000 0.5000 0.5000  4 Mn 2.34

Results
**D(E_F)**: 4.485 states/eV per cell
**ΔE_f (raw)**: 0.52 eV/atom


Copy entry 1 word for word.
A plane-wave DFT calculation with PBE was carried out for crystalline Hf2GaHg at its relaxed geometry.

a = 3.1789 Å, b = 3.1789 Å, c = 28.4471 Å
α = 90.00°, β = 90.00°, γ = 120.00°
Last column: nearest neighbours and their distance in Å.
Space group R-3m (No. 166, hexagonal axes)
One atom of each set of equivalent atoms:
Hf1 0.0000 0.0000 0.2464  3 Ga 2.92, 3 Hg 3.08, 6 Hf 3.18
Ga1 0.0000 0.0000 0.5000  6 Hf 2.92, 6 Ga 3.18
Hg1 0.0000 0.0000 0.0000  6 Hf 3.08, 6 Hg 3.18

Results
**D(E_F)**: 13.520 states/eV per cell
**Offset from the most stable computed form**: 0.140 eV per atom
**ΔH_f (0 K)**: -0.360 eV/f.u.